A plane-wave DFT calculation with PBEsol was carried out for crystalline Ni3As at its relaxed geometry.

Cell and atoms, written as extended XYZ:
```
24
Lattice="4.978 0.000 0.000 -2.489 4.311 0.000 0.000 0.000 12.399" Properties=species:S:1:pos:R:3 pbc="T T T"
As 0.000 0.000 3.100
As 0.000 0.000 9.299
As 2.489 1.437 7.313
As 2.489 1.437 11.286
As 0.000 2.874 1.113
As 0.000 2.874 5.086
Ni 2.489 0.019 3.100
Ni 1.261 2.146 3.100
Ni 3.717 2.146 3.100
Ni 0.000 4.292 9.299
Ni 1.228 2.165 9.299
Ni -1.228 2.165 9.299
Ni 2.489 2.872 1.015
Ni 3.732 0.719 1.015
Ni 1.246 0.719 1.015
Ni 2.489 2.872 5.184
Ni 3.732 0.719 5.184
Ni 1.246 0.719 5.184
Ni 0.000 1.439 11.384
Ni -1.243 3.591 11.384
Ni 1.243 3.591 11.384
Ni 0.000 1.439 7.215
Ni -1.243 3.591 7.215
Ni 1.243 3.591 7.215
```

Calculated values
Mass density in Mg/m³: 9.40
Energy in eV per atom: -6.095
ΔE_f in eV/atom: -0.20
Density of states at the Fermi level in states/eV per cell: 15.83